Entry 1:
{"formula": "TbNd12Sm6", "functional": "GGA-PBE", "state": "optimized geometry", "cell": [[8.164, 4.714, 3.029], [-8.164, 4.714, 3.029], [0.000, -9.427, 3.029]], "species": ["Tb", "Nd", "Nd", "Nd", "Nd", "Nd", "Nd", "Nd", "Nd", "Nd", "Nd", "Nd", "Nd", "Sm", "Sm", "Sm", "Sm", "Sm", "Sm"], "fractional_positions": [[0.000, 0.000, 0.000], [0.007, 0.744, 0.744], [0.108, 0.500, 0.892], [0.108, 0.892, 0.500], [0.256, 0.256, 0.993], [0.256, 0.993, 0.256], [0.500, 0.108, 0.892], [0.500, 0.892, 0.108], [0.744, 0.007, 0.744], [0.744, 0.744, 0.007], [0.892, 0.108, 0.500], [0.892, 0.500, 0.108], [0.993, 0.256, 0.256], [0.272, 0.645, 0.645], [0.355, 0.355, 0.728], [0.355, 0.728, 0.355], [0.645, 0.272, 0.645], [0.645, 0.645, 0.272], [0.728, 0.355, 0.355]], "final_energy_ev_per_cell": -82.8, "dos_at_fermi_per_ev_cell": 34.32, "magnetic_moment_mub_per_fu": 0.0, "sg": "R-3m", "relative_energy_ev_per_fu": 4.95, "e_form_mev_per_atom": 389.9}

Entry 2:
{"formula": "TbNd6Sm8", "functional": "GGA-PBE", "state": "optimized geometry", "cell": [[4.629, 2.673, 7.011], [-4.629, 2.673, 7.011], [0.000, -5.345, 7.011]], "species": ["Tb", "Nd", "Nd", "Nd", "Nd", "Nd", "Nd", "Sm", "Sm", "Sm", "Sm", "Sm", "Sm", "Sm", "Sm"], "fractional_positions": [[0.000, 0.000, 0.000], [0.100, 0.236, 0.539], [0.236, 0.539, 0.100], [0.461, 0.900, 0.764], [0.539, 0.100, 0.236], [0.764, 0.461, 0.900], [0.900, 0.764, 0.461], [0.113, 0.749, 0.718], [0.251, 0.282, 0.887], [0.282, 0.887, 0.251], [0.423, 0.423, 0.423], [0.577, 0.577, 0.577], [0.718, 0.113, 0.749], [0.749, 0.718, 0.113], [0.887, 0.251, 0.282]], "final_energy_ev_per_cell": -69.3, "dos_at_fermi_per_ev_cell": 21.59, "magnetic_moment_mub_per_fu": 0.0, "sg": "R-3", "relative_energy_ev_per_fu": 0.00, "e_form_mev_per_atom": 113.7}

Entry 3:
{"formula": "Tb2Nd5Sm12", "functional": "GGA-PBE", "state": "optimized geometry", "cell": [[9.027, -5.904, 0.000], [9.027, 5.904, 0.000], [-1.404, 0.000, 6.093]], "species": ["Tb", "Tb", "Nd", "Nd", "Nd", "Nd", "Nd", "Sm", "Sm", "Sm", "Sm", "Sm", "Sm", "Sm", "Sm", "Sm", "Sm", "Sm", "Sm"], "fractional_positions": [[0.228, 0.772, 0.000], [0.772, 0.228, 0.000], [0.000, 0.000, 0.500], [0.214, 0.214, 0.552], [0.324, 0.324, 0.142], [0.676, 0.676, 0.858], [0.786, 0.786, 0.448], [0.057, 0.548, 0.800], [0.120, 0.120, 0.996], [0.151, 0.643, 0.382], [0.357, 0.849, 0.618], [0.447, 0.447, 0.726], [0.452, 0.943, 0.200], [0.548, 0.057, 0.800], [0.553, 0.553, 0.274], [0.643, 0.151, 0.382], [0.849, 0.357, 0.618], [0.880, 0.880, 0.004], [0.943, 0.452, 0.200]], "final_energy_ev_per_cell": -87.9, "dos_at_fermi_per_ev_cell": 28.17, "magnetic_moment_mub_per_fu": 0.0, "sg": "C2/m", "relative_energy_ev_per_fu": 0.00, "e_form_mev_per_atom": 98.6}

Entry 4:
{"formula": "TbNd6Sm12", "functional": "GGA-PBE", "state": "optimized geometry", "cell": [[6.113, 3.529, 5.095], [-6.113, 3.529, 5.095], [0.000, -7.059, 5.095]], "species": ["Tb", "Nd", "Nd", "Nd", "Nd", "Nd", "Nd", "Sm", "Sm", "Sm", "Sm", "Sm", "Sm", "Sm", "Sm", "Sm", "Sm", "Sm", "Sm"], "fractional_positions": [[0.000, 0.000, 0.000], [0.094, 0.262, 0.696], [0.262, 0.696, 0.094], [0.304, 0.906, 0.738], [0.696, 0.094, 0.262], [0.738, 0.304, 0.906], [0.906, 0.738, 0.304], [0.017, 0.359, 0.196], [0.196, 0.017, 0.359], [0.222, 0.564, 0.464], [0.359, 0.196, 0.017], [0.436, 0.536, 0.778], [0.464, 0.222, 0.564], [0.536, 0.778, 0.436], [0.564, 0.464, 0.222], [0.641, 0.804, 0.983], [0.778, 0.436, 0.536], [0.804, 0.983, 0.641], [0.983, 0.641, 0.804]], "final_energy_ev_per_cell": -87.3, "dos_at_fermi_per_ev_cell": 30.46, "magnetic_moment_mub_per_fu": 0.0, "sg": "R-3", "relative_energy_ev_per_fu": 0.00, "e_form_mev_per_atom": 136.1}

Entry 5:
{"formula": "Tb2Nd5Sm4", "functional": "GGA-PBE", "state": "optimized geometry", "cell": [[-1.773, 4.683, 11.755], [1.773, -4.683, 11.755], [1.773, 4.683, -11.755]], "species": ["Tb", "Tb", "Nd", "Nd", "Nd", "Nd", "Nd", "Sm", "Sm", "Sm", "Sm"], "fractional_positions": [[0.230, 0.230, 0.000], [0.770, 0.770, 0.000], [0.148, 0.351, 0.797], [0.446, 0.649, 0.797], [0.500, 0.000, 0.500], [0.554, 0.351, 0.203], [0.852, 0.649, 0.203], [0.096, 0.096, 0.000], [0.197, 0.500, 0.697], [0.803, 0.500, 0.303], [0.904, 0.904, 0.000]], "final_energy_ev_per_cell": -49.6, "dos_at_fermi_per_ev_cell": 16.91, "magnetic_moment_mub_per_fu": 0.0, "sg": "Immm", "relative_energy_ev_per_fu": 0.86, "e_form_mev_per_atom": 215.0}

Entry 6:
{"formula": "Tb3NdSm", "functional": "GGA-PBE", "state": "optimized geometry", "cell": [[3.637, 0.000, 0.000], [0.000, 11.710, 0.000], [-1.808, 0.000, 8.446]], "species": ["Tb", "Tb", "Tb", "Tb", "Tb", "Tb", "Nd", "Nd", "Sm", "Sm"], "fractional_positions": [[0.151, 0.250, 0.298], [0.344, 0.502, 0.689], [0.344, 0.998, 0.689], [0.656, 0.002, 0.311], [0.656, 0.498, 0.311], [0.849, 0.750, 0.702], [0.188, 0.750, 0.377], [0.812, 0.250, 0.623], [0.489, 0.250, 0.969], [0.511, 0.750, 0.031]], "final_energy_ev_per_cell": -43.6, "dos_at_fermi_per_ev_cell": 15.93, "magnetic_moment_mub_per_fu": 0.0, "sg": "P2_1/m", "relative_energy_ev_per_fu": 1.48, "e_form_mev_per_atom": 311.2}

Entry 7:
{"formula": "Tb5Nd12Sm2", "functional": "GGA-PBE", "state": "optimized geometry", "cell": [[7.962, -5.168, 0.000], [7.962, 5.168, 0.000], [-0.230, 0.000, 8.047]], "species": ["Tb", "Tb", "Tb", "Tb", "Tb", "Nd", "Nd", "Nd", "Nd", "Nd", "Nd", "Nd", "Nd", "Nd", "Nd", "Nd", "Nd", "Sm", "Sm"], "fractional_positions": [[0.000, 0.000, 0.000], [0.246, 0.246, 0.988], [0.350, 0.350, 0.415], [0.650, 0.650, 0.585], [0.754, 0.754, 0.012], [0.039, 0.580, 0.707], [0.151, 0.151, 0.619], [0.168, 0.620, 0.111], [0.380, 0.832, 0.889], [0.420, 0.961, 0.293], [0.448, 0.448, 0.789], [0.552, 0.552, 0.211], [0.580, 0.039, 0.707], [0.620, 0.168, 0.111], [0.832, 0.380, 0.889], [0.849, 0.849, 0.381], [0.961, 0.420, 0.293], [0.240, 0.760, 0.500], [0.760, 0.240, 0.500]], "final_energy_ev_per_cell": -87.4, "dos_at_fermi_per_ev_cell": 26.26, "magnetic_moment_mub_per_fu": 0.0, "sg": "C2/m", "relative_energy_ev_per_fu": 0.55, "e_form_mev_per_atom": 124.1}

Entry 8:
{"formula": "Tb8NdSm5", "functional": "GGA-PBE", "state": "optimized geometry", "cell": [[8.710, -1.778, 0.000], [8.710, 1.778, 0.000], [-7.942, 0.000, 14.886]], "species": ["Tb", "Tb", "Tb", "Tb", "Tb", "Tb", "Tb", "Tb", "Nd", "Sm", "Sm", "Sm", "Sm", "Sm"], "fractional_positions": [[0.080, 0.080, 0.223], [0.147, 0.147, 0.940], [0.215, 0.215, 0.645], [0.419, 0.419, 0.277], [0.581, 0.581, 0.723], [0.785, 0.785, 0.355], [0.853, 0.853, 0.060], [0.920, 0.920, 0.777], [0.500, 0.500, 0.000], [0.000, 0.000, 0.500], [0.286, 0.286, 0.856], [0.354, 0.354, 0.558], [0.646, 0.646, 0.442], [0.714, 0.714, 0.144]], "final_energy_ev_per_cell": -64.9, "dos_at_fermi_per_ev_cell": 19.75, "magnetic_moment_mub_per_fu": 0.0, "sg": "C2/m", "e_form_mev_per_atom": 39.6}

Entry 9:
{"formula": "Tb2Nd5Sm2", "functional": "GGA-PBE", "state": "optimized geometry", "cell": [[5.772, -2.577, 0.000], [5.772, 2.577, 0.000], [-3.482, 0.000, 10.351]], "species": ["Tb", "Tb", "Nd", "Nd", "Nd", "Nd", "Nd", "Sm", "Sm"], "fractional_positions": [[0.167, 0.167, 0.223], [0.833, 0.833, 0.777], [0.166, 0.166, 0.889], [0.167, 0.167, 0.555], [0.500, 0.500, 0.000], [0.833, 0.833, 0.445], [0.834, 0.834, 0.111], [0.499, 0.499, 0.333], [0.501, 0.501, 0.667]], "final_energy_ev_per_cell": -42.4, "dos_at_fermi_per_ev_cell": 13.47, "magnetic_moment_mub_per_fu": 0.0, "sg": "C2/m", "relative_energy_ev_per_fu": 0.00, "e_form_mev_per_atom": 14.4}

Entry 10:
{"formula": "Tb12NdSm5", "functional": "GGA-PBE", "state": "optimized geometry", "cell": [[5.681, -8.705, 0.000], [5.681, 8.705, 0.000], [0.000, 0.000, 5.991]], "species": ["Tb", "Tb", "Tb", "Tb", "Tb", "Tb", "Tb", "Tb", "Tb", "Tb", "Tb", "Tb", "Nd", "Sm", "Sm", "Sm", "Sm", "Sm"], "fractional_positions": [[0.010, 0.344, 0.054], [0.156, 0.489, 0.554], [0.175, 0.175, 0.449], [0.323, 0.323, 0.949], [0.344, 0.010, 0.054], [0.489, 0.156, 0.554], [0.511, 0.844, 0.446], [0.656, 0.990, 0.946], [0.677, 0.677, 0.051], [0.825, 0.825, 0.551], [0.844, 0.511, 0.446], [0.990, 0.656, 0.946], [0.500, 0.500, 0.500], [0.000, 0.000, 0.000], [0.167, 0.833, 0.500], [0.333, 0.667, 0.000], [0.667, 0.333, 0.000], [0.833, 0.167, 0.500]], "final_energy_ev_per_cell": -82.0, "dos_at_fermi_per_ev_cell": 31.21, "magnetic_moment_mub_per_fu": 0.0, "sg": "C2/m", "e_form_mev_per_atom": 105.3}

Entry 11:
{"formula": "Tb4Nd6Sm", "functional": "GGA-PBE", "state": "optimized geometry", "cell": [[-5.426, 5.426, 3.481], [5.426, -5.426, 3.481], [5.426, 5.426, -3.481]], "species": ["Tb", "Tb", "Tb", "Tb", "Nd", "Nd", "Nd", "Nd", "Nd", "Nd", "Sm"], "fractional_positions": [[0.033, 0.662, 0.000], [0.338, 0.338, 0.370], [0.662, 0.033, 0.000], [0.967, 0.967, 0.630], [0.000, 0.500, 0.500], [0.234, 0.476, 0.000], [0.476, 0.234, 0.000], [0.500, 0.000, 0.500], [0.524, 0.524, 0.759], [0.766, 0.766, 0.241], [0.000, 0.000, 0.000]], "final_energy_ev_per_cell": -46.0, "dos_at_fermi_per_ev_cell": 17.93, "magnetic_moment_mub_per_fu": 0.3, "sg": "I-42m", "relative_energy_ev_per_fu": 1.96, "e_form_mev_per_atom": 534.2}

Entry 12:
{"formula": "Tb5Nd4Sm2", "functional": "GGA-PBE", "state": "optimized geometry", "cell": [[5.594, -3.752, 0.000], [5.594, 3.752, 0.000], [-2.658, 0.000, 8.910]], "species": ["Tb", "Tb", "Tb", "Tb", "Tb", "Nd", "Nd", "Nd", "Nd", "Sm", "Sm"], "fractional_positions": [[0.000, 0.000, 0.000], [0.212, 0.650, 0.725], [0.350, 0.788, 0.275], [0.650, 0.212, 0.725], [0.788, 0.350, 0.275], [0.312, 0.312, 0.002], [0.327, 0.327, 0.378], [0.673, 0.673, 0.622], [0.688, 0.688, 0.998], [0.142, 0.142, 0.626], [0.858, 0.858, 0.374]], "final_energy_ev_per_cell": -50.4, "dos_at_fermi_per_ev_cell": 17.52, "magnetic_moment_mub_per_fu": 0.0, "sg": "C2/m", "relative_energy_ev_per_fu": 0.13, "e_form_mev_per_atom": 116.5}

Q: What is the formula in the seventh record?
A: Tb5Nd12Sm2